# GGA-PBE Tm5Sc2Ga4, relaxed
data_Tm5Sc2Ga4
_chemical_formula_sum 'Tm10 Sc4 Ga8'
_cell_length_a 4.908
_cell_length_b 10.281
_cell_length_c 12.151
_cell_angle_alpha 90.00
_cell_angle_beta 90.00
_cell_angle_gamma 90.00
_space_group_name_H-M_alt 'I m m m'
_space_group_IT_number 71
_space_group_name_Hall '-I 2 2'
loop_
_atom_site_label
_atom_site_type_symbol
_atom_site_fract_x
_atom_site_fract_y
_atom_site_fract_z
Tm1 Tm 0.000 0.000 0.000
Tm2 Tm 0.000 0.159 0.316
Sc1 Sc 0.000 0.500 0.318
Ga1 Ga 0.000 0.340 0.500
Ga2 Ga 0.000 0.500 0.102
# Density (g cm⁻³): 6.57
# Calculated total energy (eV per atom): -4.323
# Formation energy from the elements (kJ/mol of atoms): -3.7

***

# GGA-PBE Tm2ScGa, relaxed
data_Tm2ScGa
_chemical_formula_sum 'Tm2 Sc1 Ga1'
_cell_length_a 3.430
_cell_length_b 3.430
_cell_length_c 8.488
_cell_angle_alpha 90.00
_cell_angle_beta 90.00
_cell_angle_gamma 90.00
_space_group_name_H-M_alt 'P 4/m m m'
_space_group_IT_number 123
_space_group_name_Hall '-P 4 2'
loop_
_atom_site_label
_atom_site_type_symbol
_atom_site_fract_x
_atom_site_fract_y
_atom_site_fract_z
Tm1 Tm 0.000 0.000 0.220
Sc1 Sc 0.500 0.500 0.500
Ga1 Ga 0.500 0.500 0.000
# Density (g cm⁻³): 7.53
# Calculated total energy (eV per atom): -4.853
# Formation energy from the elements (kJ/mol of atoms): -26.8
# Excess energy over the best structure of this formula in the dataset (eV/atom): 0.000

***

# GGA-PBE TmSc4Ga2, relaxed
data_TmSc4Ga2
_chemical_formula_sum 'Tm2 Sc8 Ga4'
_cell_length_a 5.215
_cell_length_b 5.215
_cell_length_c 13.713
_cell_angle_alpha 90.00
_cell_angle_beta 90.00
_cell_angle_gamma 90.00
_space_group_name_H-M_alt 'I 4/m m m'
_space_group_IT_number 139
_space_group_name_Hall '-I 4 2'
loop_
_atom_site_label
_atom_site_type_symbol
_atom_site_fract_x
_atom_site_fract_y
_atom_site_fract_z
Tm1 Tm 0.000 0.000 0.000
Sc1 Sc 0.000 0.000 0.206
Sc2 Sc 0.000 0.500 0.000
Ga1 Ga 0.000 0.000 0.402
# Density (g cm⁻³): 4.35
# Calculated total energy (eV per atom): -4.558
# Formation energy from the elements (kJ/mol of atoms): 54.4